# 1
The following is a DFT calculation (PBE) of an optimized crystal structure of ScTcW.

Lattice parameters (Å, degrees): 5.571 5.571 5.571 147.08 147.08 47.25
Atoms (fractional coordinates):
W: 0.683 0.683 0.000
Sc: 0.997 0.997 0.000
Tc: 0.320 0.320 0.000

E_form: -0.13 eV/atom
DOS(E_F): 0.607 states/eV per atom
volume: 50.9 Å³/cell
space-group type: I4mm, No. 107
energy above the lowest structure with this stoichiometry: 0.039 eV per atom


# 2
The following is a DFT calculation (PBE) of an optimized crystal structure of ScTcW2.

Lattice parameters (Å, degrees): 4.513 4.513 4.513 60.00 60.00 60.00
Atoms (fractional coordinates):
Sc: 0.000 0.000 0.000
Tc: 0.500 0.500 0.500
W: 0.250 0.250 0.250
W: 0.750 0.750 0.750

E_form: 0.17 eV/atom
DOS(E_F): 0.896 states/eV per atom
volume: 65.0 Å³/cell
space-group type: Fm-3m, No. 225
energy above the lowest structure with this stoichiometry: 0.245 eV per atom


# 3
The following is a DFT calculation (PBE) of an optimized crystal structure of ScTcW.

Lattice parameters (Å, degrees): 7.195 6.994 2.824 82.55 74.55 22.90
Atoms (fractional coordinates):
W: 0.676 0.676 0.324
Tc: 0.328 0.328 0.672
Sc: 0.996 0.996 0.004

E_form: 0.10 eV/atom
DOS(E_F): 1.046 states/eV per atom
volume: 50.7 Å³/cell
space-group type: Fmm2, No. 42
energy above the lowest structure with this stoichiometry: 0.271 eV per atom


# 4
The following is a DFT calculation (PBE) of an optimized crystal structure of Sc2TcW.

Lattice parameters (Å, degrees): 5.589 5.589 4.760 64.80 64.80 33.98
Atoms (fractional coordinates):
Sc: 0.770 0.770 0.730
Sc: 0.993 0.993 0.007
Tc: 0.520 0.520 0.480
W: 0.217 0.217 0.283

E_form: -0.05 eV/atom
DOS(E_F): 0.726 states/eV per atom
volume: 74.4 Å³/cell
space-group type: Imm2, No. 44
energy above the lowest structure with this stoichiometry: 0.047 eV per atom


# 5
The following is a DFT calculation (PBE) of an optimized crystal structure of ScTc3W.

Lattice parameters (Å, degrees): 4.698 4.698 4.698 90.00 90.00 90.00
Atoms (fractional coordinates):
Sc: 0.500 0.500 0.500
W: 0.000 0.000 0.000
Tc: 0.000 0.500 0.000
Tc: 0.500 0.000 0.000
Tc: 0.000 0.000 0.500

E_form: 1.18 eV/atom
DOS(E_F): 1.464 states/eV per atom
volume: 103.7 Å³/cell
space-group type: Pm-3m, No. 221
energy above the lowest structure with this stoichiometry: 0.000 eV per atom


# 6
The following is a DFT calculation (PBE) of an optimized crystal structure of Sc2TcW.

Lattice parameters (Å, degrees): 3.165 3.165 7.622 90.00 90.00 90.00
Atoms (fractional coordinates):
Tc: 0.000 0.000 0.524
Sc: 0.500 0.500 0.303
Sc: 0.000 0.000 0.959
W: 0.500 0.500 0.715

E_form: -0.10 eV/atom
DOS(E_F): 0.580 states/eV per atom
volume: 76.4 Å³/cell
space-group type: P4mm, No. 99
energy above the lowest structure with this stoichiometry: 0.000 eV per atom